The following is a GGA-PBE calculation of Na2Ac2Co after structural relaxation, from Alexandria. Values from VASP.

Properties
- M_tot (μB/f.u.) = 0.00
- volume (Å³ per cell) = 190.85
- E_tot (eV per atom) = -3.59

```
&SYSTEM
  ibrav = 0, nat = 5, ntyp = 3
/
ATOMIC_SPECIES
Na 22.99 Na.upf
Ac 227.00 Ac.upf
Co 58.93 Co.upf
ATOMIC_POSITIONS angstrom
Na 1.186 -3.427 7.310
Na -2.183 -3.042 5.790
Ac -1.484 -1.197 2.142
Ac 0.486 -5.273 10.958
Co 0.000 0.000 0.000
CELL_PARAMETERS angstrom
-3.431 0.909 2.164
-3.040 -2.812 0.356
5.473 -4.566 10.580
```

The following is a GGA-PBE calculation of Sr2PmPuN4 after structural relaxation, from Alexandria. Values from VASP.

Properties
- M_tot (μB/f.u.) = 3.00
- volume (Å³ per cell) = 135.25
- formation energy (no corrections) (meV per atom) = -1046.1

```
&SYSTEM
  ibrav = 0, nat = 8, ntyp = 4
/
ATOMIC_SPECIES
Sr 87.62 Sr.upf
Pm 145.00 Pm.upf
Pu 244.00 Pu.upf
N 14.01 N.upf
ATOMIC_POSITIONS angstrom
Sr 1.815 -1.078 2.984
Sr 0.000 2.022 3.043
Pm 1.815 3.100 0.059
Pu 0.000 0.000 0.000
N 1.815 0.942 1.280
N 1.815 3.102 4.806
N 0.000 -0.309 4.804
N 0.000 4.352 1.282
CELL_PARAMETERS angstrom
3.630 0.000 0.000
0.000 6.199 0.118
0.000 -2.156 5.968
```

The following is a GGA-PBE calculation of LiEuGaPd after structural relaxation, from Alexandria. Values from VASP.

Properties
- M_tot (μB/f.u.) = 7.44
- volume (Å³ per cell) = 78.41
- E_tot (eV per atom) = -5.52

```
&SYSTEM
  ibrav = 0, nat = 4, ntyp = 4
/
ATOMIC_SPECIES
Eu 151.96 Eu.upf
Ga 69.72 Ga.upf
Pd 106.42 Pd.upf
Li 6.94 Li.upf
ATOMIC_POSITIONS angstrom
Eu 0.226 -8.462 -2.498
Ga 0.075 -2.821 -0.833
Pd 0.000 0.000 0.000
Li 0.151 -5.641 -1.666
CELL_PARAMETERS angstrom
-2.122 -4.285 0.465
-0.224 -2.989 -3.755
2.648 -4.009 -0.041
```

The following is a GGA-PBE calculation of Al2Pt2Pb after structural relaxation, from Alexandria. Values from VASP.

Properties
- M_tot (μB/f.u.) = 0.00
- volume (Å³ per cell) = 94.68
- E_tot (eV per atom) = -5.34

```
&SYSTEM
  ibrav = 0, nat = 5, ntyp = 3
/
ATOMIC_SPECIES
Pb 207.20 Pb.upf
Al 26.98 Al.upf
Pt 195.08 Pt.upf
ATOMIC_POSITIONS angstrom
Pb 0.000 0.000 0.000
Al -2.443 -4.440 -1.741
Al -1.287 -5.153 0.709
Pt -0.764 -3.026 -0.521
Pt -2.966 -6.567 -0.512
CELL_PARAMETERS angstrom
-0.609 -1.845 -3.452
1.702 -3.271 1.448
-4.822 -4.478 0.972
```

The following is a GGA-PBE calculation of SiRu2Br after structural relaxation, from Alexandria. Values from VASP.

Properties
- M_tot (μB/f.u.) = 0.00
- volume (Å³ per cell) = 81.47
- formation energy (no corrections) (meV per atom) = 348.3

```
&SYSTEM
  ibrav = 0, nat = 4, ntyp = 3
/
ATOMIC_SPECIES
Br 79.90 Br.upf
Ru 101.07 Ru.upf
Si 28.09 Si.upf
ATOMIC_POSITIONS angstrom
Br 2.087 3.248 5.468
Ru 0.000 2.877 0.469
Ru 2.087 1.432 1.362
Si 0.000 1.402 2.420
CELL_PARAMETERS angstrom
4.175 0.000 0.000
0.000 3.003 -0.010
0.000 0.968 6.497
```

The following is a GGA-PBE calculation of AcAlPdO4 after structural relaxation, from Alexandria. Values from VASP.

Properties
- M_tot (μB/f.u.) = 0.00
- volume (Å³ per cell) = 110.13
- formation energy (no corrections) (meV per atom) = -2148.3

```
&SYSTEM
  ibrav = 0, nat = 7, ntyp = 4
/
ATOMIC_SPECIES
Ac 227.00 Ac.upf
Al 26.98 Al.upf
Pd 106.42 Pd.upf
O 16.00 O.upf
ATOMIC_POSITIONS angstrom
Ac 0.000 0.000 0.000
Al -0.762 -3.025 -1.257
Pd -2.114 -0.955 -3.536
O -1.029 -0.504 3.029
O -0.994 -2.621 -2.979
O -2.157 -2.390 -0.342
O -3.915 0.094 -3.520
CELL_PARAMETERS angstrom
-4.637 2.385 -2.929
0.408 -4.294 -4.143
0.182 -0.802 5.166
```

The following is a GGA-PBE calculation of Dy12Er5Mg after structural relaxation, from Alexandria. Values from VASP.

Properties
- M_tot (μB/f.u.) = 0.00
- volume (Å³ per cell) = 554.66
- E_tot (eV per atom) = -4.41

```
&SYSTEM
  ibrav = 0, nat = 18, ntyp = 3
/
ATOMIC_SPECIES
Dy 162.50 Dy.upf
Er 167.26 Er.upf
Mg 24.30 Mg.upf
ATOMIC_POSITIONS angstrom
Dy -2.066 7.397 8.427
Dy -3.039 0.795 6.257
Dy -1.520 0.385 3.122
Dy -3.585 7.807 11.562
Dy -4.522 1.354 1.537
Dy -6.593 8.764 9.982
Dy 1.489 -0.572 4.701
Dy -0.583 6.838 13.146
Dy -3.039 3.447 3.925
Dy -0.028 2.483 5.509
Dy -5.077 5.710 9.174
Dy -2.066 4.745 10.759
Er -2.552 4.096 7.342
Er -5.564 5.061 5.757
Er 0.459 3.131 8.927
Er -0.003 -2.654 2.333
Er -3.011 -1.691 0.750
Mg 0.000 0.000 0.000
CELL_PARAMETERS angstrom
-6.022 -0.726 -0.835
3.007 -3.619 3.917
-2.090 12.537 11.601
```

The following is a GGA-PBE calculation of HfBe2OsAu after structural relaxation, from Alexandria. Values from VASP.

Properties
- M_tot (μB/f.u.) = 0.00
- volume (Å³ per cell) = 89.54
- E_tot (eV per atom) = -5.48

```
&SYSTEM
  ibrav = 0, nat = 5, ntyp = 4
/
ATOMIC_SPECIES
Os 190.23 Os.upf
Hf 178.49 Hf.upf
Au 196.97 Au.upf
Be 9.01 Be.upf
ATOMIC_POSITIONS angstrom
Os 1.777 -2.205 2.711
Hf 2.414 -0.961 0.132
Au 0.000 0.000 0.000
Be 0.126 0.591 1.984
Be -0.763 -1.835 0.595
CELL_PARAMETERS angstrom
-1.527 -3.669 1.189
4.827 -1.923 0.265
0.253 1.181 3.969
```

The following is a GGA-PBE calculation of CeY3N after structural relaxation, from Alexandria. Values from VASP.

Properties
- M_tot (μB/f.u.) = 2.27
- volume (Å³ per cell) = 123.59
- formation energy (no corrections) (meV per atom) = -401.2

```
&SYSTEM
  ibrav = 0, nat = 5, ntyp = 3
/
ATOMIC_SPECIES
Y 88.91 Y.upf
Ce 140.12 Ce.upf
N 14.01 N.upf
ATOMIC_POSITIONS angstrom
Y 0.401 -1.595 -1.870
Y 0.156 -1.874 1.633
Y -2.453 -0.380 -0.201
Ce -1.896 -3.850 -0.439
N 0.000 0.000 0.000
CELL_PARAMETERS angstrom
-4.906 -0.760 -0.403
0.801 -3.191 -3.740
0.313 -3.749 3.265
```

The following is a GGA-PBE calculation of Be2AlW after structural relaxation, from Alexandria. Values from VASP.

Properties
- M_tot (μB/f.u.) = 0.00
- volume (Å³ per cell) = 49.77
- E_tot (eV per atom) = -5.82

```
&SYSTEM
  ibrav = 0, nat = 4, ntyp = 3
/
ATOMIC_SPECIES
Be 9.01 Be.upf
Al 26.98 Al.upf
W 183.84 W.upf
ATOMIC_POSITIONS angstrom
Be 0.000 0.000 0.060
Be 1.351 1.755 1.237
Al 1.351 1.755 4.033
W 0.000 0.000 2.544
CELL_PARAMETERS angstrom
2.702 0.000 0.000
0.000 3.510 0.000
0.000 0.000 5.249
```

The following is a GGA-PBE calculation of TbYIrRu after structural relaxation, from Alexandria. Values from VASP.

Properties
- M_tot (μB/f.u.) = 0.00
- volume (Å³ per cell) = 80.21
- E_tot (eV per atom) = -7.86

```
&SYSTEM
  ibrav = 0, nat = 4, ntyp = 4
/
ATOMIC_SPECIES
Tb 158.93 Tb.upf
Y 88.91 Y.upf
Ir 192.22 Ir.upf
Ru 101.07 Ru.upf
ATOMIC_POSITIONS angstrom
Tb 1.714 1.714 0.761
Y 1.714 1.714 4.118
Ir 0.000 0.000 5.857
Ru 0.000 0.000 2.424
CELL_PARAMETERS angstrom
3.428 0.000 0.000
0.000 3.428 0.000
0.000 0.000 6.826
```

The following is a GGA-PBE calculation of V2NiRh after structural relaxation, from Alexandria. Values from VASP.

Properties
- M_tot (μB/f.u.) = 0.00
- volume (Å³ per cell) = 51.37
- E_tot (eV per atom) = -8.14

```
&SYSTEM
  ibrav = 0, nat = 4, ntyp = 3
/
ATOMIC_SPECIES
Ni 58.69 Ni.upf
Rh 102.91 Rh.upf
V 50.94 V.upf
ATOMIC_POSITIONS angstrom
Ni 1.874 0.000 0.000
Rh 1.874 1.851 1.851
V 0.000 0.000 1.851
V 0.000 1.851 0.000
CELL_PARAMETERS angstrom
3.747 0.000 0.000
0.000 3.702 0.000
0.000 0.000 3.702
```

The following is a GGA-PBE calculation of CeDyTm4S8 after structural relaxation, from Alexandria. Values from VASP.

Properties
- M_tot (μB/f.u.) = 1.69
- volume (Å³ per cell) = 366.06
- formation energy (no corrections) (meV per atom) = -1902.3

```
&SYSTEM
  ibrav = 0, nat = 14, ntyp = 4
/
ATOMIC_SPECIES
Ce 140.12 Ce.upf
Dy 162.50 Dy.upf
Tm 168.93 Tm.upf
S 32.06 S.upf
ATOMIC_POSITIONS angstrom
Ce -5.663 0.162 9.320
Dy -4.132 -6.765 11.399
Tm -3.163 -3.855 7.841
Tm -1.753 0.495 6.707
Tm -5.004 -0.810 4.754
Tm -2.345 1.536 2.879
S -3.785 -0.507 11.146
S -7.342 -1.934 9.010
S -4.434 0.632 6.959
S -2.337 -0.714 4.367
S -4.962 -3.214 6.091
S -1.554 -1.847 8.138
S -4.341 -4.305 10.103
S -6.542 -2.894 12.825
CELL_PARAMETERS angstrom
-5.314 -4.688 3.747
1.184 -2.081 7.650
-4.694 3.074 5.762
```

The following is a GGA-PBE calculation of CdP2Cl after structural relaxation, from Alexandria. Values from VASP.

Properties
- M_tot (μB/f.u.) = 0.00
- volume (Å³ per cell) = 114.81
- formation energy (no corrections) (meV per atom) = 45.2

```
&SYSTEM
  ibrav = 0, nat = 4, ntyp = 3
/
ATOMIC_SPECIES
Cd 112.41 Cd.upf
Cl 35.45 Cl.upf
P 30.97 P.upf
ATOMIC_POSITIONS angstrom
Cd 0.841 3.859 1.913
Cl 0.357 5.035 4.088
P 0.149 0.683 0.339
P -0.436 1.399 2.285
CELL_PARAMETERS angstrom
-4.040 0.947 -0.135
2.347 -1.918 2.837
1.736 7.965 3.948
```

The following is a GGA-PBE calculation of Cs5RbTl4 after structural relaxation, from Alexandria. Values from VASP.

Properties
- M_tot (μB/f.u.) = 0.00
- volume (Å³ per cell) = 691.34
- E_tot (eV per atom) = -1.51

```
&SYSTEM
  ibrav = 0, nat = 10, ntyp = 3
/
ATOMIC_SPECIES
Cs 132.91 Cs.upf
Rb 85.47 Rb.upf
Tl 204.38 Tl.upf
ATOMIC_POSITIONS angstrom
Cs -0.511 -1.076 3.721
Cs -3.638 -4.962 4.198
Cs -0.978 2.207 7.590
Cs -5.448 -2.311 -0.302
Cs -4.105 -1.679 8.066
Rb -2.105 1.720 0.208
Tl -7.340 -4.962 2.474
Tl 0.505 3.616 10.945
Tl 2.723 2.207 9.314
Tl -5.121 -6.371 0.843
CELL_PARAMETERS angstrom
-4.211 3.439 0.416
-6.686 -8.061 -1.020
6.280 1.867 12.391
```

The following is a GGA-PBE calculation of ScTl2Cl after structural relaxation, from Alexandria. Values from VASP.

Properties
- M_tot (μB/f.u.) = 0.00
- volume (Å³ per cell) = 106.08
- formation energy (no corrections) (meV per atom) = -200.1

```
&SYSTEM
  ibrav = 0, nat = 4, ntyp = 3
/
ATOMIC_SPECIES
Cl 35.45 Cl.upf
Sc 44.96 Sc.upf
Tl 204.38 Tl.upf
ATOMIC_POSITIONS angstrom
Cl -1.551 -1.310 2.222
Sc -3.957 -0.389 6.276
Tl -0.028 0.011 0.046
Tl -2.379 0.910 4.007
CELL_PARAMETERS angstrom
-2.916 -1.442 -1.404
2.221 -2.098 1.794
-4.813 1.841 8.108
```

The following is a GGA-PBE calculation of RbNa5W2N6 after structural relaxation, from Alexandria. Values from VASP.

Properties
- M_tot (μB/f.u.) = 0.00
- volume (Å³ per cell) = 1891.30
- formation energy (no corrections) (meV per atom) = -460.3

```
&SYSTEM
  ibrav = 0, nat = 112, ntyp = 4
/
ATOMIC_SPECIES
Rb 85.47 Rb.upf
Na 22.99 Na.upf
W 183.84 W.upf
N 14.01 N.upf
ATOMIC_POSITIONS angstrom
Rb -4.250 -8.838 8.177
Rb -3.325 -2.849 2.106
Rb -7.299 -4.480 0.305
Rb 0.997 -11.174 4.485
Rb 0.017 -7.305 9.245
Rb 4.045 -15.531 12.357
Rb 0.072 -17.162 10.556
Rb -3.270 -12.706 3.417
Na -3.038 -4.575 4.972
Na -6.779 -10.309 9.730
Na -0.071 -5.069 6.404
Na 0.821 -12.168 7.705
Na -5.009 -10.784 5.233
Na -2.019 -11.622 6.415
Na -6.179 -3.364 3.668
Na -1.073 -17.663 5.683
Na 2.313 -14.347 6.609
Na -2.039 -13.722 10.419
Na 3.526 -9.703 2.933
Na -1.214 -6.290 2.243
Na 1.930 -16.735 3.129
Na 2.994 -13.476 3.075
Na -6.247 -6.536 9.587
Na -4.074 -7.843 4.957
Na -1.149 -15.365 1.647
Na -2.180 -2.348 6.980
Na 2.257 -12.722 13.768
Na -0.216 -15.437 7.690
Na -0.596 -1.567 0.123
Na -3.182 -14.943 6.258
Na 3.945 -13.553 9.074
Na -5.566 -5.665 6.053
Na 1.756 -9.228 7.429
Na -3.894 -11.003 11.142
Na -0.851 -19.174 8.092
Na -1.234 -8.389 6.247
Na 1.360 -10.410 11.313
Na -2.658 -18.445 12.539
Na -2.104 -4.646 11.015
Na 0.641 -9.009 1.521
Na -5.510 -7.289 -1.106
Na 4.825 -17.299 4.282
Na 2.926 -16.647 8.995
Na -8.078 -2.713 8.380
Na -2.402 -0.837 4.571
Na -4.613 -9.602 1.349
Na -7.198 -6.459 3.588
Na -5.183 -3.277 9.534
W 5.304 -15.484 6.888
W -7.670 -8.168 6.673
W -1.977 -9.264 3.229
W 1.050 -7.182 4.340
W -4.303 -12.830 8.323
W -8.557 -4.528 5.775
W -0.141 -14.767 4.597
W 2.155 -17.525 6.084
W 1.154 -13.551 10.585
W -3.379 -16.482 9.130
W 4.417 -11.844 5.989
W 0.126 -3.530 3.532
W -3.112 -5.245 8.065
W -5.408 -2.487 6.579
W -1.276 -10.748 9.433
W -4.407 -6.461 2.077
N -0.274 -13.428 5.849
N 1.586 -14.545 9.074
N -0.053 -12.100 10.138
N 2.569 -18.653 4.700
N -1.659 -10.548 1.951
N -3.914 -5.824 9.640
N -0.324 -8.388 3.710
N -5.917 -12.468 9.127
N 3.766 -16.634 6.670
N -7.622 -8.253 8.526
N -9.885 -4.079 6.966
N 2.664 -7.543 3.535
N 0.278 -14.549 11.855
N -2.979 -6.583 6.813
N 5.900 -15.503 8.627
N -0.535 -10.008 7.929
N 6.632 -15.933 5.696
N -2.929 -11.624 8.952
N -7.982 -6.347 6.100
N -2.806 -16.708 10.853
N -2.718 -10.003 4.734
N -7.019 -3.378 5.992
N -2.095 -16.984 7.889
N -1.594 -9.464 10.711
N 0.576 -5.397 3.760
N -4.654 -1.564 5.178
N -4.421 -12.789 6.487
N -3.200 -7.911 2.524
N -9.153 -4.509 4.035
N -5.822 -1.359 7.963
N -6.021 -7.242 1.354
N -3.531 -5.462 0.807
N -4.162 -3.847 7.226
N 2.768 -12.770 11.309
N -6.103 -8.728 5.912
N -0.447 -3.304 1.809
N -3.829 -14.614 8.902
N 4.729 -13.665 6.562
N -1.373 -4.506 8.478
N 1.168 -7.223 6.175
N 0.661 -14.188 3.022
N 2.850 -11.284 6.750
N 1.401 -18.448 7.485
N 0.909 -16.164 5.436
N -1.880 -15.506 4.184
N 4.369 -11.758 4.136
N -4.839 -5.467 3.588
N -1.158 -3.028 4.773
CELL_PARAMETERS angstrom
-3.825 1.288 9.565
-7.752 -4.758 -2.459
8.324 -16.542 5.556
```

The following is a GGA-PBE calculation of Sb2PtBr after structural relaxation, from Alexandria. Values from VASP.

Properties
- M_tot (μB/f.u.) = 0.00
- volume (Å³ per cell) = 99.54
- formation energy (no corrections) (meV per atom) = -179.3

```
&SYSTEM
  ibrav = 0, nat = 4, ntyp = 3
/
ATOMIC_SPECIES
Sb 121.76 Sb.upf
Br 79.90 Br.upf
Pt 195.08 Pt.upf
ATOMIC_POSITIONS angstrom
Sb 6.612 4.334 1.045
Sb 4.136 2.276 0.550
Br 2.151 0.282 1.901
Pt 6.463 1.668 2.240
CELL_PARAMETERS angstrom
-0.009 -0.821 3.462
2.186 -2.455 -0.576
6.436 5.226 1.256
```

The following is a GGA-PBE calculation of NbTe2NCl after structural relaxation, from Alexandria. Values from VASP.

Properties
- M_tot (μB/f.u.) = 1.35
- volume (Å³ per cell) = 102.62
- formation energy (no corrections) (meV per atom) = 1448.9

```
&SYSTEM
  ibrav = 0, nat = 5, ntyp = 4
/
ATOMIC_SPECIES
N 14.01 N.upf
Nb 92.91 Nb.upf
Te 127.60 Te.upf
Cl 35.45 Cl.upf
ATOMIC_POSITIONS angstrom
N 0.000 0.000 1.705
Nb 2.743 2.743 1.705
Te 0.000 2.743 0.000
Te 2.743 0.000 0.000
Cl 0.000 0.000 0.000
CELL_PARAMETERS angstrom
5.486 0.000 0.000
0.000 5.486 0.000
0.000 0.000 3.409
```

The following is a GGA-PBE calculation of CdSiO3 after structural relaxation, from Alexandria. Values from VASP.

Properties
- M_tot (μB/f.u.) = 0.00
- volume (Å³ per cell) = 66.86
- formation energy (no corrections) (meV per atom) = 332.0

```
&SYSTEM
  ibrav = 0, nat = 5, ntyp = 3
/
ATOMIC_SPECIES
Si 28.09 Si.upf
O 16.00 O.upf
Cd 112.41 Cd.upf
ATOMIC_POSITIONS angstrom
Si 2.029 2.029 2.029
O 0.000 2.029 0.000
O 0.000 0.000 2.029
O 2.029 0.000 0.000
Cd 0.000 0.000 0.000
CELL_PARAMETERS angstrom
4.059 0.000 0.000
0.000 4.059 0.000
0.000 0.000 4.059
```

The following is a GGA-PBE calculation of CdInSn after structural relaxation, from Alexandria. Values from VASP.

Properties
- M_tot (μB/f.u.) = 0.00
- volume (Å³ per cell) = 167.58
- E_tot (eV per atom) = -2.48

```
&SYSTEM
  ibrav = 0, nat = 6, ntyp = 3
/
ATOMIC_SPECIES
Cd 112.41 Cd.upf
In 114.82 In.upf
Sn 118.71 Sn.upf
ATOMIC_POSITIONS angstrom
Cd 0.000 1.278 0.756
Cd 2.147 4.666 8.452
In 2.147 2.076 3.633
In 0.000 3.867 5.576
Sn 0.000 3.866 2.300
Sn 2.147 2.078 6.909
CELL_PARAMETERS angstrom
4.295 0.000 0.000
-2.147 4.520 0.438
0.000 1.423 8.771
```